Record 1
Material: AlCoSi2
Method: DFT, PBE
State: relaxed

Structure (extended XYZ):
```
12
Lattice="2.8988 0.0000 0.0000 -1.4494 2.5104 0.0000 0.0000 0.0000 22.1699" Properties=species:S:1:pos:R:3 pbc="T T T"
Al 0.0000 0.0000 0.0000
Al 0.0000 1.6736 14.7799
Al 1.4494 0.8368 7.3899
Co 0.0000 0.0000 11.0849
Co 0.0000 1.6736 3.6950
Co 1.4494 0.8368 18.4749
Si 0.0000 0.0000 5.3421
Si 0.0000 0.0000 16.8278
Si 0.0000 1.6736 9.4378
Si 0.0000 1.6736 20.1220
Si 1.4494 0.8368 2.0479
Si 1.4494 0.8368 12.7320
```

Summary:
N(E_F), states/eV/cell: 7.17
Crystal system: trigonal
Formation energy without anion corrections, meV per atom: -46

Record 2
Material: Nb2CuPd4
Method: DFT, PBE
State: relaxed

Structure (extended XYZ):
```
14
Lattice="6.5790 0.0000 0.0000 0.0000 5.1186 0.0000 -3.2468 0.0000 6.7006" Properties=species:S:1:pos:R:3 pbc="T T T"
Nb -0.9650 1.2796 3.0523
Nb 1.3364 3.8389 0.0985
Nb 1.9959 1.2796 6.6021
Nb 4.2973 3.8389 3.6483
Cu -2.2650 1.2796 5.4017
Cu 5.5973 3.8389 1.2989
Pd 0.9400 1.2796 1.2963
Pd 1.0640 3.8389 2.8540
Pd -0.0379 2.5719 5.2415
Pd -0.0379 5.1060 5.2415
Pd 3.3702 0.0126 1.4591
Pd 3.3702 2.5467 1.4591
Pd 2.2683 1.2796 3.8466
Pd 2.3923 3.8389 5.4042
```

Summary:
N(E_F), states/eV/cell: 11.67
Calculated formation energy, eV per atom: -0.1259
Crystal system: monoclinic

Record 3
Material: AlTcSb3
Method: DFT, PBE
State: relaxed

Structure (extended XYZ):
```
5
Lattice="5.1961 0.0000 0.0000 0.0000 5.1961 0.0000 0.0000 0.0000 5.1961" Properties=species:S:1:pos:R:3 pbc="T T T"
Al 0.0000 0.0000 0.0000
Tc 2.5981 2.5981 2.5981
Sb 0.0000 0.0000 2.5981
Sb 0.0000 2.5981 0.0000
Sb 2.5981 0.0000 0.0000
```

Summary:
N(E_F), states/eV/cell: 5.04
Relative energy among the computed polymorphs, kJ/mol of formula units: 297.9
Crystal system: cubic
Formation energy without anion corrections, meV per atom: 1199

Record 4
Material: ErSc2Nb
Method: DFT, PBE
State: relaxed

Structure (extended XYZ):
```
12
Lattice="3.2056 0.0000 0.0000 -1.6028 2.7762 0.0000 0.0000 0.0000 31.8512" Properties=species:S:1:pos:R:3 pbc="T T T"
Er 0.0000 0.0000 0.0000
Er 0.0000 1.8508 21.2342
Er 1.6028 0.9254 10.6171
Sc 0.0000 0.0000 7.6970
Sc 0.0000 0.0000 24.1542
Sc 0.0000 1.8508 13.5371
Sc 0.0000 1.8508 28.9312
Sc 1.6028 0.9254 2.9200
Sc 1.6028 0.9254 18.3141
Nb 0.0000 0.0000 15.9256
Nb 0.0000 1.8508 5.3085
Nb 1.6028 0.9254 26.5427
```

Summary:
N(E_F), states/eV/cell: 18.95
Relative energy among the computed polymorphs, kJ/mol of formula units: 12.0
Calculated formation energy, eV per atom: 0.1762
Crystal system: trigonal